# Cs3V2HgO8 (PBE with a Hubbard U, optimized geometry)
data_Cs3V2HgO8
_chemical_formula_sum 'Cs3 V2 Hg1 O8'
_space_group_name_H-M_alt 'P -3 m 1'
_space_group_IT_number 164
_space_group_name_Hall '-P 3 2"'
_cell_length_a 6.2719
_cell_length_b 6.2719
_cell_length_c 8.3316
_cell_angle_alpha 90.00
_cell_angle_beta 90.00
_cell_angle_gamma 120.00
loop_
_atom_site_label
_atom_site_type_symbol
_atom_site_fract_x
_atom_site_fract_y
_atom_site_fract_z
Cs1 Cs 0.0000 0.0000 0.0000
Cs2 Cs 0.3333 0.6667 0.7042
V1 V 0.3333 0.6667 0.2664
Hg1 Hg 0.0000 0.0000 0.5000
O1 O 0.1791 0.3581 0.3301
O2 O 0.3333 0.6667 0.0609
# - E: -5.685 eV/atom
# - Fermi-level density of states: 8.97 states/eV/cell
# - Total magnetization: 1.1 μB per formula unit
# - Mass density: 4.9 g/cm³